## LiMg4In (PBE)

Data for an optimized crystal structure of LiMg4In.

```
LiMg4In
1.0
4.225 -2.439 0.000
4.225 2.439 0.000
-2.753 0.000 7.087
Li Mg In
1 4 1
Direct
0.000 0.000 0.000
0.219 0.219 0.657
0.366 0.366 0.099
0.634 0.634 0.901
0.781 0.781 0.343
0.500 0.500 0.500
```

Results
Energy relative to the elements in eV per atom: 0.028

---

## Sm12Tc3N5 (PBE)

Data for an optimized crystal structure of Sm12Tc3N5.

```
Sm12Tc3N5
1.0
-7.769 7.769 7.769
7.769 -7.769 7.769
7.769 7.769 -7.769
Sm Tc N
48 12 20
Direct
0.025 0.205 0.124
0.025 0.320 0.901
0.081 0.705 0.680
0.081 0.876 0.401
0.099 0.624 0.419
0.099 0.975 0.680
0.124 0.025 0.205
0.124 0.599 0.919
0.180 0.205 0.581
0.180 0.475 0.599
0.205 0.124 0.025
0.205 0.581 0.180
0.295 0.320 0.919
0.295 0.475 0.376
0.320 0.901 0.025
0.320 0.919 0.295
0.376 0.295 0.475
0.376 0.581 0.901
0.401 0.081 0.876
0.401 0.820 0.525
0.419 0.099 0.624
0.419 0.820 0.795
0.475 0.376 0.295
0.475 0.599 0.180
0.525 0.401 0.820
0.525 0.624 0.705
0.581 0.180 0.205
0.581 0.901 0.376
0.599 0.180 0.475
0.599 0.919 0.124
0.624 0.419 0.099
0.624 0.705 0.525
0.680 0.081 0.705
0.680 0.099 0.975
0.705 0.525 0.624
0.705 0.680 0.081
0.795 0.419 0.820
0.795 0.876 0.975
0.820 0.525 0.401
0.820 0.795 0.419
0.876 0.401 0.081
0.876 0.975 0.795
0.901 0.025 0.320
0.901 0.376 0.581
0.919 0.124 0.599
0.919 0.295 0.320
0.975 0.680 0.099
0.975 0.795 0.876
0.125 0.250 0.375
0.125 0.375 0.750
0.250 0.375 0.125
0.250 0.875 0.625
0.375 0.125 0.250
0.375 0.750 0.125
0.625 0.250 0.875
0.625 0.875 0.750
0.750 0.125 0.375
0.750 0.625 0.875
0.875 0.625 0.250
0.875 0.750 0.625
0.000 0.000 0.000
0.000 0.000 0.500
0.000 0.500 0.000
0.000 0.500 0.500
0.125 0.750 0.875
0.125 0.875 0.250
0.250 0.125 0.875
0.250 0.625 0.375
0.375 0.250 0.625
0.375 0.625 0.750
0.500 0.000 0.000
0.500 0.000 0.500
0.500 0.500 0.000
0.500 0.500 0.500
0.625 0.375 0.250
0.625 0.750 0.375
0.750 0.375 0.625
0.750 0.875 0.125
0.875 0.125 0.750
0.875 0.250 0.125
```

Results
Formation energy (no corrections) in eV per atom: -0.5712

---

## ScTeSN2 (PBE)

Data for an optimized crystal structure of ScTeSN2.

```
ScTeSN2
1.0
4.119 0.000 0.000
0.000 4.119 0.000
0.000 0.000 5.179
Sc Te S N
1 1 1 2
Direct
0.000 0.000 0.000
0.500 0.500 0.500
0.000 0.000 0.500
0.000 0.500 0.000
0.500 0.000 0.000
```

Results
Formation energy (no corrections) in eV per atom: 0.6642

---

no.,final energy (eV for the cell shown),calculated volume (Å³/cell)
1,-10.9,146.0
2,-563.1,1875.9
3,-26.9,87.9